Entry 1:
Tb3Np3ScSe8 | PBE | optimized geometry

**E_form (uncorrected)**: -22.6 eV per formula unit
**E_tot**: -0.26840 Ha/atom

CIF file:
```
data_Tb3Np3ScSe8
_chemical_formula_sum 'Tb3 Np3 Sc1 Se8'
_space_group_name_H-M_alt 'P 1'
_space_group_IT_number 1
_cell_length_a 8.1432
_cell_length_b 8.1432
_cell_length_c 8.1432
_cell_angle_alpha 60.12
_cell_angle_beta 60.12
_cell_angle_gamma 60.12
loop_
_space_group_symop_operation_xyz
'x,y,z'
loop_
_atom_site_label
_atom_site_fract_x
_atom_site_fract_y
_atom_site_fract_z
Tb1 0.0000 0.5000 0.5000
Tb2 0.5000 0.0000 0.5000
Tb3 0.5000 0.5000 0.0000
Np1 0.0000 0.0000 0.5000
Np2 0.0000 0.5000 0.0000
Np3 0.5000 0.0000 0.0000
Sc1 0.0000 0.0000 0.0000
Se1 0.2443 0.2443 0.7544
Se2 0.2443 0.7544 0.2443
Se3 0.2456 0.7557 0.7557
Se4 0.2503 0.2503 0.2503
Se5 0.7497 0.7497 0.7497
Se6 0.7544 0.2443 0.2443
Se7 0.7557 0.2456 0.7557
Se8 0.7557 0.7557 0.2456
```

Entry 2:
NpScTeSe2 | PBE | optimized geometry

**E_form (uncorrected)**: -4.4 eV per formula unit
**E_tot**: -0.24841 Ha/atom

CIF file:
```
data_NpScTeSe2
_chemical_formula_sum 'Np1 Sc1 Te1 Se2'
_space_group_name_H-M_alt 'P 1'
_space_group_IT_number 1
_cell_length_a 7.4803
_cell_length_b 7.4803
_cell_length_c 7.4803
_cell_angle_alpha 145.25
_cell_angle_beta 145.25
_cell_angle_gamma 49.96
loop_
_space_group_symop_operation_xyz
'x,y,z'
loop_
_atom_site_label
_atom_site_fract_x
_atom_site_fract_y
_atom_site_fract_z
Np1 0.0000 0.0000 0.0000
Sc1 0.7381 0.7381 0.0000
Te1 0.3862 0.3862 0.0000
Se1 0.1344 0.6344 0.5000
Se2 0.6344 0.1344 0.5000
```

Entry 3:
NpSc3Tl4Se8 | PBE | optimized geometry

**E_form (uncorrected)**: -18.5 eV per formula unit
**E_tot**: -0.20159 Ha/atom

CIF file:
```
data_NpSc3Tl4Se8
_chemical_formula_sum 'Np1 Sc3 Tl4 Se8'
_space_group_name_H-M_alt 'P 1'
_space_group_IT_number 1
_cell_length_a 9.0417
_cell_length_b 9.0417
_cell_length_c 9.0417
_cell_angle_alpha 53.05
_cell_angle_beta 53.05
_cell_angle_gamma 53.05
loop_
_space_group_symop_operation_xyz
'x,y,z'
loop_
_atom_site_label
_atom_site_fract_x
_atom_site_fract_y
_atom_site_fract_z
Np1 0.0000 0.0000 0.0000
Sc1 0.0000 0.5000 0.5000
Sc2 0.5000 0.0000 0.5000
Sc3 0.5000 0.5000 0.0000
Tl1 0.0000 0.0000 0.5000
Tl2 0.0000 0.5000 0.0000
Tl3 0.5000 0.0000 0.0000
Tl4 0.5000 0.5000 0.5000
Se1 0.2391 0.2391 0.7201
Se2 0.2391 0.7201 0.2391
Se3 0.2690 0.2690 0.2690
Se4 0.2799 0.7609 0.7609
Se5 0.7201 0.2391 0.2391
Se6 0.7310 0.7310 0.7310
Se7 0.7609 0.2799 0.7609
Se8 0.7609 0.7609 0.2799
```

Entry 4:
NpSc2Tl3Se6 | PBE | optimized geometry

**E_form (uncorrected)**: -13.5 eV per formula unit
**E_tot**: -0.20548 Ha/atom

CIF file:
```
data_NpSc2Tl3Se6
_chemical_formula_sum 'Np1 Sc2 Tl3 Se6'
_space_group_name_H-M_alt 'P 1'
_space_group_IT_number 1
_cell_length_a 7.0336
_cell_length_b 7.0336
_cell_length_c 8.0982
_cell_angle_alpha 98.33
_cell_angle_beta 98.33
_cell_angle_gamma 119.92
loop_
_space_group_symop_operation_xyz
'x,y,z'
loop_
_atom_site_label
_atom_site_fract_x
_atom_site_fract_y
_atom_site_fract_z
Np1 0.0000 0.0000 0.0000
Sc1 0.3332 0.6668 0.0000
Sc2 0.6668 0.3332 0.0000
Tl1 0.1633 0.8367 0.5000
Tl2 0.5000 0.5000 0.5000
Tl3 0.8367 0.1633 0.5000
Se1 0.0663 0.4139 0.1988
Se2 0.2823 0.2823 0.8041
Se3 0.4139 0.0663 0.1988
Se4 0.5861 0.9337 0.8012
Se5 0.7177 0.7177 0.1959
Se6 0.9337 0.5861 0.8012
```

Entry 5:
NpScTl2Se4 | PBE | optimized geometry

**E_form (uncorrected)**: -8.5 eV per formula unit
**E_tot**: -0.21335 Ha/atom

CIF file:
```
data_NpScTl2Se4
_chemical_formula_sum 'Np1 Sc1 Tl2 Se4'
_space_group_name_H-M_alt 'P 1'
_space_group_IT_number 1
_cell_length_a 7.1010
_cell_length_b 4.1028
_cell_length_c 8.1060
_cell_angle_alpha 90.00
_cell_angle_beta 106.91
_cell_angle_gamma 90.00
loop_
_space_group_symop_operation_xyz
'x,y,z'
loop_
_atom_site_label
_atom_site_fract_x
_atom_site_fract_y
_atom_site_fract_z
Np1 0.0000 0.0000 0.0000
Sc1 0.5000 0.5000 0.0000
Tl1 0.0000 0.5000 0.5000
Tl2 0.5000 0.0000 0.5000
Se1 0.2463 0.5000 0.2018
Se2 0.2806 0.0000 0.8035
Se3 0.7194 0.0000 0.1965
Se4 0.7537 0.5000 0.7982
```

Entry 6:
Tm2NpSc3Se6 | PBE | optimized geometry

**E_form (uncorrected)**: -18.5 eV per formula unit
**E_tot**: -0.24578 Ha/atom

CIF file:
```
data_Tm2NpSc3Se6
_chemical_formula_sum 'Tm2 Np1 Sc3 Se6'
_space_group_name_H-M_alt 'P 1'
_space_group_IT_number 1
_cell_length_a 8.8751
_cell_length_b 8.8751
_cell_length_c 7.9555
_cell_angle_alpha 103.06
_cell_angle_beta 103.06
_cell_angle_gamma 25.62
loop_
_space_group_symop_operation_xyz
'x,y,z'
loop_
_atom_site_label
_atom_site_fract_x
_atom_site_fract_y
_atom_site_fract_z
Tm1 0.1619 0.1619 0.3265
Tm2 0.8381 0.8381 0.6735
Np1 0.5000 0.5000 0.0000
Sc1 0.1631 0.1631 0.8386
Sc2 0.5000 0.5000 0.5000
Sc3 0.8369 0.8369 0.1614
Se1 0.0031 0.0031 0.7379
Se2 0.3270 0.3270 0.9190
Se3 0.3328 0.3328 0.4105
Se4 0.6672 0.6672 0.5895
Se5 0.6730 0.6730 0.0810
Se6 0.9969 0.9969 0.2621
```

Entry 7:
TmNp2ScSe4 | PBE | optimized geometry

**E_form (uncorrected)**: -10.7 eV per formula unit
**E_tot**: -0.28172 Ha/atom

CIF file:
```
data_TmNp2ScSe4
_chemical_formula_sum 'Tm1 Np2 Sc1 Se4'
_space_group_name_H-M_alt 'P 1'
_space_group_IT_number 1
_cell_length_a 6.9273
_cell_length_b 4.0185
_cell_length_c 7.0247
_cell_angle_alpha 90.00
_cell_angle_beta 109.43
_cell_angle_gamma 90.00
loop_
_space_group_symop_operation_xyz
'x,y,z'
loop_
_atom_site_label
_atom_site_fract_x
_atom_site_fract_y
_atom_site_fract_z
Tm1 0.0000 0.0000 0.0000
Np1 0.5000 0.0000 0.5000
Np2 0.5000 0.5000 0.0000
Sc1 0.0000 0.5000 0.5000
Se1 0.2352 0.0000 0.7412
Se2 0.2381 0.5000 0.2516
Se3 0.7619 0.5000 0.7484
Se4 0.7648 0.0000 0.2588
```

Entry 8:
YNp2ScSe4 | PBE | optimized geometry

**E_form (uncorrected)**: -10.9 eV per formula unit
**E_tot**: -0.29155 Ha/atom

CIF file:
```
data_YNp2ScSe4
_chemical_formula_sum 'Y1 Np2 Sc1 Se4'
_space_group_name_H-M_alt 'P 1'
_space_group_IT_number 1
_cell_length_a 6.9512
_cell_length_b 4.0401
_cell_length_c 7.0629
_cell_angle_alpha 90.00
_cell_angle_beta 109.50
_cell_angle_gamma 90.00
loop_
_space_group_symop_operation_xyz
'x,y,z'
loop_
_atom_site_label
_atom_site_fract_x
_atom_site_fract_y
_atom_site_fract_z
Y1 0.0000 0.0000 0.0000
Np1 0.5000 0.0000 0.5000
Np2 0.5000 0.5000 0.0000
Sc1 0.0000 0.5000 0.5000
Se1 0.2372 0.0000 0.7395
Se2 0.2423 0.5000 0.2555
Se3 0.7577 0.5000 0.7445
Se4 0.7628 0.0000 0.2605
```

Entry 9:
SmNpSc | PBE | optimized geometry

**E_tot**: -0.28558 Ha/atom
**Formation energy**: 226 meV per atom

CIF file:
```
data_SmNpSc
_chemical_formula_sum 'Sm2 Np2 Sc2'
_space_group_name_H-M_alt 'P 1'
_space_group_IT_number 1
_cell_length_a 8.1003
_cell_length_b 8.1003
_cell_length_c 5.7609
_cell_angle_alpha 95.75
_cell_angle_beta 95.75
_cell_angle_gamma 24.92
loop_
_space_group_symop_operation_xyz
'x,y,z'
loop_
_atom_site_label
_atom_site_fract_x
_atom_site_fract_y
_atom_site_fract_z
Sm1 0.1014 0.1014 0.3473
Sm2 0.8986 0.8986 0.6527
Np1 0.2423 0.2423 0.8583
Np2 0.7577 0.7577 0.1417
Sc1 0.4172 0.4172 0.1548
Sc2 0.5828 0.5828 0.8452
```

Entry 10:
Np2ScSn9 | PBE | optimized geometry

**E_tot**: -0.21573 Ha/atom
**Formation energy**: -184 meV per atom

CIF file:
```
data_Np2ScSn9
_chemical_formula_sum 'Np2 Sc1 Sn9'
_space_group_name_H-M_alt 'P 1'
_space_group_IT_number 1
_cell_length_a 4.6799
_cell_length_b 4.6799
_cell_length_c 13.6701
_cell_angle_alpha 90.00
_cell_angle_beta 90.00
_cell_angle_gamma 90.00
loop_
_space_group_symop_operation_xyz
'x,y,z'
loop_
_atom_site_label
_atom_site_fract_x
_atom_site_fract_y
_atom_site_fract_z
Np1 0.0000 0.0000 0.1667
Np2 0.0000 0.0000 0.8333
Sc1 0.0000 0.0000 0.5000
Sn1 0.0000 0.5000 0.0000
Sn2 0.0000 0.5000 0.3374
Sn3 0.0000 0.5000 0.6626
Sn4 0.5000 0.0000 0.0000
Sn5 0.5000 0.0000 0.3374
Sn6 0.5000 0.0000 0.6626
Sn7 0.5000 0.5000 0.1693
Sn8 0.5000 0.5000 0.5000
Sn9 0.5000 0.5000 0.8307
```

Entry 11:
NpScSn6 | PBE | optimized geometry

**E_tot**: -0.20637 Ha/atom
**Formation energy**: -205 meV per atom

CIF file:
```
data_NpScSn6
_chemical_formula_sum 'Np1 Sc1 Sn6'
_space_group_name_H-M_alt 'P 1'
_space_group_IT_number 1
_cell_length_a 4.7126
_cell_length_b 4.7126
_cell_length_c 8.9642
_cell_angle_alpha 90.00
_cell_angle_beta 90.00
_cell_angle_gamma 90.00
loop_
_space_group_symop_operation_xyz
'x,y,z'
loop_
_atom_site_label
_atom_site_fract_x
_atom_site_fract_y
_atom_site_fract_z
Np1 0.0000 0.0000 0.0000
Sc1 0.0000 0.0000 0.5000
Sn1 0.0000 0.5000 0.2548
Sn2 0.0000 0.5000 0.7452
Sn3 0.5000 0.0000 0.2548
Sn4 0.5000 0.0000 0.7452
Sn5 0.5000 0.5000 0.0000
Sn6 0.5000 0.5000 0.5000
```

Which of these has the highest E_tot?
NpSc3Tl4Se8

Which of these has the lowest E_tot?
YNp2ScSe4

Copy entry 8 word for word.
YNp2ScSe4 | PBE | optimized geometry

**E_form (uncorrected)**: -10.9 eV per formula unit
**E_tot**: -0.29155 Ha/atom

CIF file:
```
data_YNp2ScSe4
_chemical_formula_sum 'Y1 Np2 Sc1 Se4'
_space_group_name_H-M_alt 'P 1'
_space_group_IT_number 1
_cell_length_a 6.9512
_cell_length_b 4.0401
_cell_length_c 7.0629
_cell_angle_alpha 90.00
_cell_angle_beta 109.50
_cell_angle_gamma 90.00
loop_
_space_group_symop_operation_xyz
'x,y,z'
loop_
_atom_site_label
_atom_site_fract_x
_atom_site_fract_y
_atom_site_fract_z
Y1 0.0000 0.0000 0.0000
Np1 0.5000 0.0000 0.5000
Np2 0.5000 0.5000 0.0000
Sc1 0.0000 0.5000 0.5000
Se1 0.2372 0.0000 0.7395
Se2 0.2423 0.5000 0.2555
Se3 0.7577 0.5000 0.7445
Se4 0.7628 0.0000 0.2605
```